A relaxed structure of Nd3Tm4Sc, computed with GGA-PBE.

Structure (POSCAR):
```
Nd3Tm4Sc
1.0
3.468 0.000 0.000
0.000 11.548 0.000
0.000 0.000 12.728
Nd Tm Sc
6 8 2
Direct
0.000 0.000 0.000
0.000 0.500 0.240
0.000 0.500 0.760
0.500 0.000 0.260
0.500 0.000 0.740
0.500 0.500 0.500
0.000 0.242 0.366
0.000 0.242 0.634
0.000 0.758 0.366
0.000 0.758 0.634
0.500 0.258 0.134
0.500 0.258 0.866
0.500 0.742 0.134
0.500 0.742 0.866
0.000 0.000 0.500
0.500 0.500 0.000
```

Properties
The value obtained for the magnetic moment is 0.000 μB/f.u. The value obtained for the energy relative to the elements is 0.138 eV/atom. For the energy above the most stable polymorph in this dataset, the calculation gives 109.1 meV per atom.

A relaxed structure of Nd3Tm4Sc, computed with GGA-PBE.

Structure (POSCAR):
```
Nd3Tm4Sc
1.0
11.251 0.000 0.000
0.000 7.230 0.000
0.000 0.000 6.203
Nd Tm Sc
6 8 2
Direct
0.000 0.128 0.000
0.250 0.125 0.334
0.250 0.875 0.834
0.500 0.872 0.500
0.750 0.125 0.334
0.750 0.875 0.834
0.000 0.378 0.502
0.000 0.622 0.000
0.245 0.623 0.338
0.255 0.377 0.838
0.500 0.378 0.500
0.500 0.622 0.002
0.745 0.377 0.838
0.755 0.623 0.338
0.000 0.868 0.496
0.500 0.132 0.996
```

Properties
The value obtained for the magnetic moment is 0.000 μB/f.u. The value obtained for the energy relative to the elements is 0.029 eV/atom. For the energy above the most stable polymorph in this dataset, the calculation gives 0.0 meV per atom.

A relaxed structure of Nd3Tm2Sc, computed with GGA-PBE.

Structure (POSCAR):
```
Nd3Tm2Sc
1.0
6.141 0.000 0.000
2.070 7.643 0.000
0.066 3.325 8.055
Nd Tm Sc
6 4 2
Direct
0.040 0.136 0.286
0.293 0.873 0.043
0.373 0.129 0.626
0.627 0.871 0.374
0.707 0.127 0.957
0.960 0.864 0.714
0.208 0.619 0.461
0.453 0.384 0.204
0.547 0.616 0.796
0.792 0.381 0.539
0.123 0.381 0.875
0.877 0.619 0.125
```

Properties
The value obtained for the magnetic moment is 0.000 μB/f.u. The value obtained for the energy relative to the elements is 0.043 eV/atom. For the energy above the most stable polymorph in this dataset, the calculation gives 0.0 meV per atom.

A relaxed structure of NdTm5Sc, computed with GGA-PBE.

Structure (POSCAR):
```
NdTm5Sc
1.0
9.097 0.000 0.000
0.000 3.533 0.000
-2.924 0.000 13.232
Nd Tm Sc
2 10 2
Direct
0.112 0.250 0.136
0.888 0.750 0.864
0.004 0.750 0.372
0.206 0.250 0.884
0.327 0.250 0.507
0.350 0.750 0.722
0.419 0.750 0.083
0.581 0.250 0.917
0.650 0.250 0.278
0.673 0.750 0.493
0.794 0.750 0.116
0.996 0.250 0.628
0.353 0.750 0.309
0.647 0.250 0.691
```

Properties
The value obtained for the magnetic moment is 0.306 μB/f.u. The value obtained for the energy relative to the elements is 0.064 eV/atom. For the energy above the most stable polymorph in this dataset, the calculation gives 0.0 meV per atom.

A relaxed structure of NdTm2Sc, computed with GGA-PBE.

Structure (POSCAR):
```
NdTm2Sc
1.0
6.078 0.000 0.000
0.000 3.513 0.000
-2.029 0.000 11.192
Nd Tm Sc
2 4 2
Direct
0.000 0.000 0.000
0.500 0.500 0.000
0.080 0.500 0.739
0.422 0.000 0.266
0.580 0.000 0.739
0.922 0.500 0.266
0.336 0.500 0.504
0.836 0.000 0.504
```

Properties
The value obtained for the magnetic moment is 0.004 μB/f.u. The value obtained for the energy relative to the elements is 0.030 eV/atom. For the energy above the most stable polymorph in this dataset, the calculation gives 5.1 meV per atom.

A relaxed structure of Nd6TmSc8, computed with GGA-PBE.

Structure (POSCAR):
```
Nd6TmSc8
1.0
4.649 2.684 5.866
-4.649 2.684 5.866
0.000 -5.368 5.866
Nd Tm Sc
6 1 8
Direct
0.168 0.427 0.622
0.378 0.832 0.573
0.427 0.622 0.168
0.573 0.378 0.832
0.622 0.168 0.427
0.832 0.573 0.378
0.000 0.000 0.000
0.048 0.873 0.379
0.127 0.621 0.952
0.225 0.225 0.225
0.379 0.048 0.873
0.621 0.952 0.127
0.775 0.775 0.775
0.873 0.379 0.048
0.952 0.127 0.621
```

Properties
The value obtained for the magnetic moment is 0.012 μB/f.u. The value obtained for the energy relative to the elements is 0.179 eV/atom.

A relaxed structure of Nd2Tm5Sc2, computed with GGA-PBE.

Structure (POSCAR):
```
Nd2Tm5Sc2
1.0
-9.633 4.189 3.433
9.633 -4.189 3.433
9.633 4.189 -3.433
Nd Tm Sc
4 10 4
Direct
0.000 0.000 0.000
0.000 0.500 0.500
0.095 0.291 0.304
0.986 0.791 0.696
0.043 0.457 0.917
0.043 0.625 0.086
0.071 0.186 0.666
0.071 0.904 0.385
0.499 0.296 0.703
0.519 0.404 0.334
0.519 0.686 0.615
0.539 0.125 0.083
0.539 0.957 0.914
0.592 0.796 0.297
0.407 0.580 0.910
0.407 0.996 0.326
0.670 0.080 0.674
0.670 0.496 0.090
```

Properties
The value obtained for the magnetic moment is 0.000 μB/f.u. The value obtained for the energy relative to the elements is 0.215 eV/atom. For the energy above the most stable polymorph in this dataset, the calculation gives 171.4 meV per atom.

A relaxed structure of NdTm2Sc4, computed with GGA-PBE.

Structure (POSCAR):
```
NdTm2Sc4
1.0
10.201 0.000 0.000
0.000 8.066 0.000
-3.830 0.000 4.947
Nd Tm Sc
2 4 8
Direct
0.000 0.000 0.000
0.500 0.500 0.000
0.000 0.500 0.250
0.000 0.500 0.750
0.500 0.000 0.250
0.500 0.000 0.750
0.193 0.193 0.693
0.193 0.807 0.693
0.307 0.307 0.307
0.307 0.693 0.307
0.693 0.307 0.693
0.693 0.693 0.693
0.807 0.193 0.307
0.807 0.807 0.307
```

Properties
The value obtained for the magnetic moment is 3.271 μB/f.u. The value obtained for the energy relative to the elements is 0.225 eV/atom. For the energy above the most stable polymorph in this dataset, the calculation gives 175.4 meV per atom.